The following is a DFT calculation (PBE) of a relaxed structure of SrAg2Br.

abc: 3.9016 3.9016 7.7386
angles: 90.00 90.00 90.00
With the nearest neighbours (Å) after each atom.
Atoms (fractional coordinates):
Sr1 0.0000 0.0000 0.0000  1 Ag 2.99, 4 Br 3.13
Ag1 0.0000 0.0000 0.3862  4 Ag 2.83, 1 Sr 2.99
Ag2 0.5000 0.5000 0.3046  4 Ag 2.83
Br1 0.5000 0.5000 0.8077  4 Sr 3.13

Formation energy without anion corrections = -0.596 eV/atom
Offset from the most stable computed form = 46.8 meV/atom
Energy = -11.4 eV/cell
Symmetry = No. 99
N(E_F) = 0.203 states/eV/atom
ρ = 5403 kg/m3